Entry 1:
The following is a DFT calculation (PBE-GGA) of a relaxed structure of GaSnTeO6.

a = 5.2138 Å, b = 5.2138 Å, c = 9.2110 Å
α = 90.00°, β = 90.00°, γ = 120.00°
Space group P-31c (No. 163)
Symmetry-distinct sites (fractional):
Ga 0.3333 0.6667 0.2500 [2 per cell]
Sn 0.0000 0.0000 0.0000 [2 per cell]
Te 0.3333 0.6667 0.7500 [2 per cell]
O 0.0028 0.3457 0.1314 [12 per cell]

Values from the calculation:
DOS(E_F) (states/eV/atom): 0.311
Crystal system: trigonal
Electronic total energy (eV per cell): -103.3

=====

Entry 2:
The following is a DFT calculation (PBE-GGA) of a relaxed structure of CrIn2Si.

a = 8.675 Å, b = 8.675 Å, c = 5.044 Å
α = 90.00°, β = 90.00°, γ = 90.00°
Space group I-42d (No. 122)
Symmetry-distinct sites (fractional):
Cr 0.000 0.000 0.000 [4 per cell]
In 0.170 0.750 0.625 [8 per cell]
Si 0.000 0.000 0.500 [4 per cell]

Values from the calculation:
DOS(E_F) (states/eV/atom): 0.393
Crystal system: tetragonal
Electronic total energy (eV per cell): -74.2